Compound: MnAlReHg2
Source: the Alexandria database
Functional: PBE
Structure: relaxed

Energy of formation from the pure elements ... 1.3277 eV per atom

a b c (Å): 4.888 4.702 4.888
angles (deg): 90.00 90.00 90.00
Fractional coordinates of all 5 atoms:
1 Mn 0.500 0.500 0.500
2 Re 0.000 0.500 0.000
3 Hg 0.500 0.000 0.000
4 Hg 0.000 0.000 0.500
5 Al 0.000 0.000 0.000

---

Compound: MnAlTcHg2
Source: the Alexandria database
Functional: PBE
Structure: relaxed

Energy of formation from the pure elements ... 1.0933 eV per atom

a b c (Å): 4.903 4.672 4.903
angles (deg): 90.00 90.00 90.00
Fractional coordinates of all 5 atoms:
1 Hg 0.500 0.000 0.000
2 Hg 0.000 0.000 0.500
3 Al 0.000 0.000 0.000
4 Tc 0.000 0.500 0.000
5 Mn 0.500 0.500 0.500

---

Compound: MnAlHgW2
Source: the Alexandria database
Functional: PBE
Structure: relaxed

Energy of formation from the pure elements ... 1.0903 eV per atom

a b c (Å): 4.513 4.496 4.513
angles (deg): 90.00 90.00 90.00
Fractional coordinates of all 5 atoms:
1 Mn 0.000 0.000 0.000
2 Al 0.000 0.500 0.000
3 W 0.500 0.000 0.000
4 W 0.000 0.000 0.500
5 Hg 0.500 0.500 0.500

---

Compound: MnAl2HgW
Source: the Alexandria database
Functional: PBE
Structure: relaxed

Energy of formation from the pure elements ... 0.6902 eV per atom

a b c (Å): 4.572 4.504 4.572
angles (deg): 90.00 90.00 90.00
Fractional coordinates of all 5 atoms:
1 Hg 0.500 0.500 0.500
2 Al 0.000 0.000 0.500
3 Al 0.500 0.000 0.000
4 Mn 0.000 0.000 0.000
5 W 0.000 0.500 0.000

---

Compound: Al2HgMo
Source: the Alexandria database
Functional: PBE
Structure: relaxed

Energy of formation from the pure elements ... 0.1018 eV per atom

a b c (Å): 4.917 4.917 2.909
angles (deg): 90.00 90.00 106.86
Fractional coordinates of all 4 atoms:
1 Al 0.500 0.500 0.000
2 Al 0.000 0.000 0.000
3 Hg 0.500 0.000 0.500
4 Mo 0.000 0.500 0.500

---

Compound: AlHgMo
Source: the Alexandria database
Functional: PBE
Structure: relaxed

Energy of formation from the pure elements ... 0.6610 eV per atom
ΔE to the lowest computed polymorph ... 0.381 eV/atom

a b c (Å): 4.350 4.350 4.350
angles (deg): 60.00 60.00 60.00
Fractional coordinates of all 3 atoms:
1 Hg 0.000 0.000 0.000
2 Al 0.750 0.750 0.750
3 Mo 0.500 0.500 0.500

---

Compound: Al2HgMo
Source: the Alexandria database
Functional: PBE
Structure: relaxed

Energy of formation from the pure elements ... 0.0672 eV per atom

a b c (Å): 5.106 5.106 5.106
angles (deg): 134.11 134.10 66.93
Fractional coordinates of all 4 atoms:
1 Al 0.500 0.500 0.000
2 Al 0.000 0.000 0.000
3 Mo 0.750 0.250 0.500
4 Hg 0.250 0.750 0.500

---

Compound: AlHg2Mo
Source: the Alexandria database
Functional: PBE
Structure: relaxed

Energy of formation from the pure elements ... 0.3357 eV per atom

a b c (Å): 2.975 3.618 7.076
angles (deg): 90.00 90.00 90.00
Fractional coordinates of all 4 atoms:
1 Hg 0.000 0.000 0.974
2 Hg 0.500 0.500 0.271
3 Mo 0.000 0.000 0.540
4 Al 0.500 0.500 0.714

---

Listing DOS(E_F) for the structures above in their given order: 0.7258, 0.8267, 0.8031, 0.7536, 0.5278, 0.8577, 0.1904, 0.5738 states/eV/atom.